MgCdTe2 PBE optimized geometry; volume = 28.576 Å³ per atom; E_tot = -9.73 eV for the cell shown; space-group type = P2/m (10)
1.0
4.287 0.000 0.000
0.000 4.127 0.000
-1.419 0.000 6.461
Mg Cd Te
1 1 2
Direct
0.000 0.000 0.000
0.500 0.000 0.500
0.240 0.500 0.758
0.760 0.500 0.242